[1]
Here is crystalline ZnCrPd2Ru at its relaxed geometry from Alexandria via LeMat-Bulk. Energies are from PBE.

a b c (Å): 4.4379 4.4379 4.4264
angles (deg): 90.00 90.00 90.00
Atoms (fractional coordinates):
Zn  0.0000  0.0000  0.0000
Cr  0.0000  0.0000  0.5000
Pd  0.0000  0.5000  0.0000
Pd  0.5000  0.0000  0.0000
Ru  0.5000  0.5000  0.5000

For the energy of formation from the pure elements, the calculation gives 1.410 eV per atom.

---

[2]
Here is crystalline ZrCrPdRu2 at its relaxed geometry from Alexandria via LeMat-Bulk. Energies are from PBE.

a b c (Å): 4.3949 4.3949 4.6162
angles (deg): 90.00 90.00 90.00
Atoms (fractional coordinates):
Zr  0.0000  0.0000  0.0000
Cr  0.5000  0.5000  0.5000
Pd  0.5000  0.5000  0.0000
Ru  0.0000  0.5000  0.5000
Ru  0.5000  0.0000  0.5000

For the energy of formation from the pure elements, the calculation gives 0.557 eV per atom.

---

[3]
Here is crystalline Cr6PdS8 at its relaxed geometry from Alexandria via LeMat-Bulk. Energies are from PBE.

a b c (Å): 6.1169 6.1169 6.1169
angles (deg): 92.00 92.00 92.00
Atoms (fractional coordinates):
Cr  0.2153  0.4092  0.5528
Cr  0.4092  0.5528  0.2153
Cr  0.4472  0.7847  0.5908
Cr  0.5528  0.2153  0.4092
Cr  0.5908  0.4472  0.7847
Cr  0.7847  0.5908  0.4472
Pd  0.0000  0.0000  0.0000
S  0.1314  0.7294  0.3802
S  0.2265  0.2265  0.2265
S  0.2706  0.6198  0.8686
S  0.3802  0.1314  0.7294
S  0.6198  0.8686  0.2706
S  0.7294  0.3802  0.1314
S  0.7735  0.7735  0.7735
S  0.8686  0.2706  0.6198

Its uncorrected formation energy is -0.60 eV per atom.

---

| no. | total moment (μB/f.u.) | uncorrected energy (eV/cell) | ρ (g cm⁻³) |
| --- | --- | --- | --- |
| 1 | 0.05 | -23.5 | 8.22 |
| 2 | 0.55 | -39.1 | 8.41 |
| 3 | 0.00 | -104.9 | 4.91 |